Record 1
## SnBi3Rh (GGA-PBEsol)

Data for a relaxed structure of SnBi3Rh.

total magnetization: 0.0003 μB/atom
E_form: 1.42 eV per atom
N(E_F): 4.82 states/eV/cell

abc: 5.5730 5.5730 5.5730
angles: 90.00 90.00 90.00
Element x y z (fractional)
Sn1 0.0000 0.0000 0.0000
Bi1 0.0000 0.0000 0.5000
Rh1 0.5000 0.5000 0.5000
Bi2 0.0000 0.5000 0.0000
Bi3 0.5000 0.0000 0.0000


Record 2
## SnBiRh3 (GGA-PBEsol)

Data for a relaxed structure of SnBiRh3.

total magnetization: 0.2931 μB/atom
E_form: 1.20 eV per atom
N(E_F): 9.81 states/eV/cell

abc: 4.8991 4.8991 4.8991
angles: 90.00 90.00 90.00
Element x y z (fractional)
Rh1 0.0000 0.5000 0.0000
Rh2 0.0000 0.0000 0.5000
Rh3 0.5000 0.0000 0.0000
Sn1 0.5000 0.5000 0.5000
Bi1 0.0000 0.0000 0.0000


Record 3
## TaSnBi2Rh (GGA-PBEsol)

Data for a relaxed structure of TaSnBi2Rh.

total magnetization: 0.0001 μB/atom
E_form: 0.80 eV per atom
N(E_F): 4.34 states/eV/cell

abc: 4.7265 5.4509 5.4509
angles: 90.00 90.00 90.00
Element x y z (fractional)
Sn1 0.5000 0.5000 0.5000
Bi1 0.0000 0.5000 0.0000
Bi2 0.0000 0.0000 0.5000
Rh1 0.5000 0.0000 0.0000
Ta1 0.0000 0.0000 0.0000


Which value of total magnetization does entry 3 give?
0.0001 μB/atom